This record from Alexandria describes a relaxed structure of RbMn2InF8. The functional is PBE with a Hubbard U.

Output
Space-group type = No. 2
Crystal system = triclinic
Calculated density = 3.8 Mg/m³
Spin magnetization = 10.00 μB per cell
Raw total energy = -5.410 eV/atom

Cell and atoms, written as CIF:
```
data_RbMn2InF8
_chemical_formula_sum 'Rb1 Mn2 In1 F8'
_symmetry_space_group_name_H-M 'P 1'
_symmetry_Int_Tables_number 1
_symmetry_space_group_name_Hall 'P 1'
_cell_length_a 5.241
_cell_length_b 5.255
_cell_length_c 7.394
_cell_angle_alpha 85.63
_cell_angle_beta 85.50
_cell_angle_gamma 84.09
loop_
_atom_site_label
_atom_site_type_symbol
_atom_site_fract_x
_atom_site_fract_y
_atom_site_fract_z
Rb1 Rb 0.000 0.000 0.000
Mn1 Mn 0.462 0.463 0.232
Mn2 Mn 0.538 0.537 0.768
In1 In 0.000 0.000 0.500
F1 F 0.216 0.783 0.699
F2 F 0.227 0.794 0.299
F3 F 0.266 0.277 0.459
F4 F 0.332 0.348 0.991
F5 F 0.668 0.652 0.009
F6 F 0.734 0.723 0.541
F7 F 0.773 0.206 0.701
F8 F 0.784 0.217 0.301
```

---

This record from Alexandria describes a relaxed structure of Rb2MnInF6. The functional is PBE with a Hubbard U.

Output
Space-group type = No. 225
Crystal system = cubic
Calculated density = 4.3 Mg/m³
Spin magnetization = 4.25 μB per cell
Raw total energy = -4.892 eV/atom

Cell and atoms, written as CIF:
```
data_Rb2MnInF6
_chemical_formula_sum 'Rb2 Mn1 In1 F6'
_symmetry_space_group_name_H-M 'P 1'
_symmetry_Int_Tables_number 1
_symmetry_space_group_name_Hall 'P 1'
_cell_length_a 6.304
_cell_length_b 6.304
_cell_length_c 6.304
_cell_angle_alpha 60.00
_cell_angle_beta 60.00
_cell_angle_gamma 60.00
loop_
_atom_site_label
_atom_site_type_symbol
_atom_site_fract_x
_atom_site_fract_y
_atom_site_fract_z
Rb1 Rb 0.250 0.250 0.250
Rb2 Rb 0.750 0.750 0.750
Mn1 Mn 0.000 0.000 0.000
In1 In 0.500 0.500 0.500
F1 F 0.239 0.239 0.761
F2 F 0.239 0.761 0.239
F3 F 0.239 0.761 0.761
F4 F 0.761 0.239 0.239
F5 F 0.761 0.239 0.761
F6 F 0.761 0.761 0.239
```

---

This record from Alexandria describes a relaxed structure of RbMnInF6. The functional is PBE with a Hubbard U.

Output
Space-group type = No. 74
Crystal system = orthorhombic
Calculated density = 3.6 Mg/m³
Spin magnetization = 10.00 μB per cell
Raw total energy = -5.153 eV/atom

Cell and atoms, written as CIF:
```
data_RbMnInF6
_chemical_formula_sum 'Rb2 Mn2 In2 F12'
_symmetry_space_group_name_H-M 'P 1'
_symmetry_Int_Tables_number 1
_symmetry_space_group_name_Hall 'P 1'
_cell_length_a 7.853
_cell_length_b 7.853
_cell_length_c 7.853
_cell_angle_alpha 121.61
_cell_angle_beta 119.09
_cell_angle_gamma 89.41
loop_
_atom_site_label
_atom_site_type_symbol
_atom_site_fract_x
_atom_site_fract_y
_atom_site_fract_z
Rb1 Rb 0.329 0.079 0.250
Rb2 Rb 0.671 0.921 0.750
Mn1 Mn 0.000 0.000 0.500
Mn2 Mn 0.000 0.500 0.000
In1 In 0.000 0.500 0.500
In2 In 0.500 0.500 0.000
F1 F 0.066 0.419 0.245
F2 F 0.066 0.821 0.647
F3 F 0.072 0.822 0.250
F4 F 0.320 0.570 0.750
F5 F 0.326 0.179 0.745
F6 F 0.326 0.581 0.147
F7 F 0.674 0.419 0.853
F8 F 0.674 0.821 0.255
F9 F 0.680 0.430 0.250
F10 F 0.928 0.178 0.750
F11 F 0.934 0.179 0.353
F12 F 0.934 0.581 0.755
```

---

This record from Alexandria describes a relaxed structure of MnInSb2F. The functional is PBE with a Hubbard U.

Output
Space-group type = No. 123
Crystal system = tetragonal
Calculated density = 5.8 Mg/m³
Spin magnetization = 4.07 μB per cell
Excess energy over the best structure of this formula in the dataset = 0 meV/atom

Cell and atoms, written as CIF:
```
data_MnInSb2F
_chemical_formula_sum 'Mn1 In1 Sb2 F1'
_symmetry_space_group_name_H-M 'P 1'
_symmetry_Int_Tables_number 1
_symmetry_space_group_name_Hall 'P 1'
_cell_length_a 5.650
_cell_length_b 5.650
_cell_length_c 3.880
_cell_angle_alpha 90.00
_cell_angle_beta 90.00
_cell_angle_gamma 90.00
loop_
_atom_site_label
_atom_site_type_symbol
_atom_site_fract_x
_atom_site_fract_y
_atom_site_fract_z
Mn1 Mn 0.000 0.000 0.000
In1 In 0.500 0.500 0.500
Sb1 Sb 0.000 0.500 0.000
Sb2 Sb 0.500 0.000 0.000
F1 F 0.000 0.000 0.500
```

---

This record from Alexandria describes a relaxed structure of MnInSb2F. The functional is PBE with a Hubbard U.

Output
Space-group type = No. 123
Crystal system = tetragonal
Calculated density = 5.9 Mg/m³
Spin magnetization = 4.82 μB per cell
Excess energy over the best structure of this formula in the dataset = 350 meV/atom

Cell and atoms, written as CIF:
```
data_MnInSb2F
_chemical_formula_sum 'Mn1 In1 Sb2 F1'
_symmetry_space_group_name_H-M 'P 1'
_symmetry_Int_Tables_number 1
_symmetry_space_group_name_Hall 'P 1'
_cell_length_a 4.958
_cell_length_b 4.958
_cell_length_c 4.943
_cell_angle_alpha 90.00
_cell_angle_beta 90.00
_cell_angle_gamma 90.00
loop_
_atom_site_label
_atom_site_type_symbol
_atom_site_fract_x
_atom_site_fract_y
_atom_site_fract_z
Mn1 Mn 0.000 0.000 0.000
In1 In 0.500 0.500 0.000
Sb1 Sb 0.000 0.500 0.500
Sb2 Sb 0.500 0.000 0.500
F1 F 0.500 0.500 0.500
```

---

This record from Alexandria describes a relaxed structure of MnInSe2F. The functional is PBE with a Hubbard U.

Output
Space-group type = No. 123
Crystal system = tetragonal
Calculated density = 3.7 Mg/m³
Spin magnetization = 5.28 μB per cell
Raw total energy = -3.524 eV/atom

Cell and atoms, written as CIF:
```
data_MnInSe2F
_chemical_formula_sum 'Mn1 In1 Se2 F1'
_symmetry_space_group_name_H-M 'P 1'
_symmetry_Int_Tables_number 1
_symmetry_space_group_name_Hall 'P 1'
_cell_length_a 5.121
_cell_length_b 5.121
_cell_length_c 5.876
_cell_angle_alpha 90.00
_cell_angle_beta 90.00
_cell_angle_gamma 90.00
loop_
_atom_site_label
_atom_site_type_symbol
_atom_site_fract_x
_atom_site_fract_y
_atom_site_fract_z
Mn1 Mn 0.000 0.000 0.000
In1 In 0.000 0.000 0.500
Se1 Se 0.000 0.500 0.500
Se2 Se 0.500 0.000 0.500
F1 F 0.500 0.500 0.000
```

---

This record from Alexandria describes a relaxed structure of TiMnInF6. The functional is PBE with a Hubbard U.

Output
Space-group type = No. 163
Crystal system = trigonal
Calculated density = 3.4 Mg/m³
Spin magnetization = 12.00 μB per cell
Raw total energy = -5.976 eV/atom

Cell and atoms, written as CIF:
```
data_TiMnInF6
_chemical_formula_sum 'Ti2 Mn2 In2 F12'
_symmetry_space_group_name_H-M 'P 1'
_symmetry_Int_Tables_number 1
_symmetry_space_group_name_Hall 'P 1'
_cell_length_a 5.602
_cell_length_b 5.602
_cell_length_c 11.760
_cell_angle_alpha 90.00
_cell_angle_beta 90.00
_cell_angle_gamma 120.00
loop_
_atom_site_label
_atom_site_type_symbol
_atom_site_fract_x
_atom_site_fract_y
_atom_site_fract_z
Ti1 Ti 0.333 0.667 0.250
Ti2 Ti 0.667 0.333 0.750
Mn1 Mn 0.333 0.667 0.750
Mn2 Mn 0.667 0.333 0.250
In1 In 0.000 0.000 0.000
In2 In 0.000 0.000 0.500
F1 F 0.021 0.388 0.155
F2 F 0.021 0.633 0.345
F3 F 0.367 0.388 0.345
F4 F 0.367 0.979 0.155
F5 F 0.388 0.021 0.655
F6 F 0.388 0.367 0.845
F7 F 0.612 0.633 0.155
F8 F 0.612 0.979 0.345
F9 F 0.633 0.021 0.845
F10 F 0.633 0.612 0.655
F11 F 0.979 0.367 0.655
F12 F 0.979 0.612 0.845
```

---

This record from Alexandria describes a relaxed structure of MnTl2InF6. The functional is PBE with a Hubbard U.

Output
Space-group type = No. 71
Crystal system = orthorhombic
Calculated density = 6.6 Mg/m³
Spin magnetization = 3.99 μB per cell
Raw total energy = -4.755 eV/atom

Cell and atoms, written as CIF:
```
data_MnTl2InF6
_chemical_formula_sum 'Mn1 Tl2 In1 F6'
_symmetry_space_group_name_H-M 'P 1'
_symmetry_Int_Tables_number 1
_symmetry_space_group_name_Hall 'P 1'
_cell_length_a 6.285
_cell_length_b 6.285
_cell_length_c 6.285
_cell_angle_alpha 120.08
_cell_angle_beta 119.94
_cell_angle_gamma 89.98
loop_
_atom_site_label
_atom_site_type_symbol
_atom_site_fract_x
_atom_site_fract_y
_atom_site_fract_z
Mn1 Mn 0.000 0.000 0.000
Tl1 Tl 0.249 0.749 0.500
Tl2 Tl 0.751 0.251 0.500
In1 In 0.500 0.500 0.000
F1 F 0.239 0.240 0.479
F2 F 0.239 0.760 0.000
F3 F 0.240 0.240 0.000
F4 F 0.760 0.760 0.000
F5 F 0.761 0.240 0.000
F6 F 0.761 0.760 0.521
```

---

This record from Alexandria describes a relaxed structure of MnVInF6. The functional is PBE with a Hubbard U.

Output
Space-group type = No. 5
Crystal system = monoclinic
Calculated density = 3.5 Mg/m³
Spin magnetization = 7.00 μB per cell
Raw total energy = -5.757 eV/atom

Cell and atoms, written as CIF:
```
data_MnVInF6
_chemical_formula_sum 'Mn1 V1 In1 F6'
_symmetry_space_group_name_H-M 'P 1'
_symmetry_Int_Tables_number 1
_symmetry_space_group_name_Hall 'P 1'
_cell_length_a 5.577
_cell_length_b 5.577
_cell_length_c 5.892
_cell_angle_alpha 90.13
_cell_angle_beta 90.13
_cell_angle_gamma 119.91
loop_
_atom_site_label
_atom_site_type_symbol
_atom_site_fract_x
_atom_site_fract_y
_atom_site_fract_z
Mn1 Mn 0.000 0.000 0.000
V1 V 0.333 0.667 0.000
In1 In 0.667 0.333 0.500
F1 F 0.050 0.355 0.814
F2 F 0.052 0.695 0.186
F3 F 0.305 0.948 0.814
F4 F 0.307 0.357 0.186
F5 F 0.643 0.693 0.814
F6 F 0.645 0.950 0.186
```

---

This record from Alexandria describes a relaxed structure of MnInWF2. The functional is PBE with a Hubbard U.

Output
Space-group type = No. 123
Crystal system = tetragonal
Calculated density = 5.8 Mg/m³
Spin magnetization = 2.14 μB per cell
Raw total energy = -4.266 eV/atom

Cell and atoms, written as CIF:
```
data_MnInWF2
_chemical_formula_sum 'Mn1 In1 W1 F2'
_symmetry_space_group_name_H-M 'P 1'
_symmetry_Int_Tables_number 1
_symmetry_space_group_name_Hall 'P 1'
_cell_length_a 4.237
_cell_length_b 4.237
_cell_length_c 6.287
_cell_angle_alpha 90.00
_cell_angle_beta 90.00
_cell_angle_gamma 90.00
loop_
_atom_site_label
_atom_site_type_symbol
_atom_site_fract_x
_atom_site_fract_y
_atom_site_fract_z
Mn1 Mn 0.000 0.000 0.000
In1 In 0.000 0.000 0.500
W1 W 0.500 0.500 0.000
F1 F 0.000 0.500 0.500
F2 F 0.500 0.000 0.500
```

---

This record from Alexandria describes a relaxed structure of InMo3F. The functional is PBE with a Hubbard U.

Output
Space-group type = No. 221
Crystal system = cubic
Calculated density = 4.1 Mg/m³
Spin magnetization = 13.51 μB per cell
Excess energy over the best structure of this formula in the dataset = 330 meV/atom

Cell and atoms, written as CIF:
```
data_InMo3F
_chemical_formula_sum 'In1 Mo3 F1'
_symmetry_space_group_name_H-M 'P 1'
_symmetry_Int_Tables_number 1
_symmetry_space_group_name_Hall 'P 1'
_cell_length_a 5.532
_cell_length_b 5.532
_cell_length_c 5.532
_cell_angle_alpha 90.00
_cell_angle_beta 90.00
_cell_angle_gamma 90.00
loop_
_atom_site_label
_atom_site_type_symbol
_atom_site_fract_x
_atom_site_fract_y
_atom_site_fract_z
In1 In 0.000 0.000 0.000
Mo1 Mo 0.000 0.000 0.500
Mo2 Mo 0.000 0.500 0.000
Mo3 Mo 0.500 0.000 0.000
F1 F 0.500 0.500 0.500
```

---

This record from Alexandria describes a relaxed structure of In2MoF. The functional is PBE with a Hubbard U.

Output
Space-group type = No. 225
Crystal system = cubic
Calculated density = 6.6 Mg/m³
Spin magnetization = 4.25 μB per cell
Excess energy over the best structure of this formula in the dataset = 101 meV/atom

Cell and atoms, written as CIF:
```
data_In2MoF
_chemical_formula_sum 'In2 Mo1 F1'
_symmetry_space_group_name_H-M 'P 1'
_symmetry_Int_Tables_number 1
_symmetry_space_group_name_Hall 'P 1'
_cell_length_a 4.979
_cell_length_b 4.979
_cell_length_c 4.979
_cell_angle_alpha 60.00
_cell_angle_beta 60.00
_cell_angle_gamma 60.00
loop_
_atom_site_label
_atom_site_type_symbol
_atom_site_fract_x
_atom_site_fract_y
_atom_site_fract_z
In1 In 0.250 0.250 0.250
In2 In 0.750 0.750 0.750
Mo1 Mo 0.000 0.000 0.000
F1 F 0.500 0.500 0.500
```